First-principles (PBE) data for crystalline BeNi2As at its relaxed geometry, as listed in the Alexandria database.

Properties
N(E_F), states/eV per cell: 4.06
Magnetization, μB/atom: 0.00
DFT formation energy, eV/atom: 0.17

abc: 7.5469 7.5469 7.5469
angles: 20.98 20.98 20.98
Element x y z (fractional)
Ni 0.0058 0.0058 0.0058
Ni 0.2499 0.2499 0.2499
As 0.5010 0.5010 0.5010
Be 0.7434 0.7434 0.7434



First-principles (PBE) data for crystalline IrRhPb2 at its relaxed geometry, as listed in the Alexandria database.

Properties
N(E_F), states/eV per cell: 3.22
Magnetization, μB/atom: 0.00
DFT formation energy, eV/atom: 0.53

abc: 4.8451 4.8451 4.8451
angles: 60.00 60.00 60.00
Element x y z (fractional)
Ir 0.5000 0.5000 0.5000
Rh 0.7500 0.7500 0.7500
Pb 0.0000 0.0000 0.0000
Pb 0.2500 0.2500 0.2500



Electronic total energy, respectively: -19.25, -21.51 eV/cell.